Here is a geometry-optimized Sm2ThCo3 structure from Alexandria via LeMat-Bulk. Energies are from PBE.

Cell and atoms, written as POSCAR:
```
Sm2ThCo3
1.0
-1.7348 -1.3870 -4.7264
3.1904 -6.7212 0.8014
-7.0586 1.0860 2.2721
Th Sm Co
2 4 6
direct
0.2500 0.1725 0.0000
0.7500 0.8275 0.0000
0.2500 0.8330 0.3403
0.2500 0.4927 0.6597
0.7500 0.1670 0.6597
0.7500 0.5073 0.3403
0.0000 0.8441 0.6883
0.5000 0.5000 0.0000
0.0000 0.5000 0.0000
0.5000 0.8441 0.6883
0.5000 0.1559 0.3117
0.0000 0.1559 0.3117
```

crystal system = orthorhombic
final energy = -39.0 eV/f.u.
energy of formation from the pure elements = -0.14 eV per atom

***

Here is a geometry-optimized Ho8Tm6Mg structure from Alexandria via LeMat-Bulk. Energies are from PBE.

Cell and atoms, written as POSCAR:
```
Ho8Tm6Mg
1.0
-4.4096 2.4917 4.2049
-1.3449 -8.3298 3.5256
6.4361 5.4662 3.5103
Ho Tm Mg
8 6 1
direct
0.1754 0.6667 0.3333
0.8883 0.6880 0.6744
0.8883 0.9865 0.3120
0.8246 0.3333 0.6667
0.1117 0.6744 0.9865
0.8883 0.3256 0.0135
0.1117 0.0135 0.6880
0.1117 0.3120 0.3256
0.6041 0.6783 0.0876
0.3959 0.0876 0.4094
0.6041 0.4094 0.3217
0.3959 0.3217 0.9124
0.3959 0.5906 0.6783
0.6041 0.9124 0.5906
0.5000 0.0000 0.0000
```

crystal system = trigonal
final energy = -61.3 eV/f.u.
excess energy over the best structure of this formula in the dataset = 145 meV/atom
energy of formation from the pure elements = 0.25 eV per atom

***

Q: Which value of final energy does entry 2 give?
A: -61.3 eV/f.u.

***

Q: What is the final energy in the second record?
A: -61.3 eV/f.u.

***

Copy entry 1 word for word.
Here is a geometry-optimized Sm2ThCo3 structure from Alexandria via LeMat-Bulk. Energies are from PBE.

Cell and atoms, written as POSCAR:
```
Sm2ThCo3
1.0
-1.7348 -1.3870 -4.7264
3.1904 -6.7212 0.8014
-7.0586 1.0860 2.2721
Th Sm Co
2 4 6
direct
0.2500 0.1725 0.0000
0.7500 0.8275 0.0000
0.2500 0.8330 0.3403
0.2500 0.4927 0.6597
0.7500 0.1670 0.6597
0.7500 0.5073 0.3403
0.0000 0.8441 0.6883
0.5000 0.5000 0.0000
0.0000 0.5000 0.0000
0.5000 0.8441 0.6883
0.5000 0.1559 0.3117
0.0000 0.1559 0.3117
```

crystal system = orthorhombic
final energy = -39.0 eV/f.u.
energy of formation from the pure elements = -0.14 eV per atom

***

Q: Which of these has the highest final energy?
A: Sm2ThCo3